Entry 1:
# AcLaHgO2

An optimized crystal structure of AcLaHgO2 (GGA-PBE, Alexandria).

a b c (Å): 7.353 7.353 7.353
angles (deg): 146.50 146.50 48.11
Element x y z (fractional)
1 Ac 0.000 0.000 0.000
2 La 0.680 0.680 0.000
3 Hg 0.343 0.343 0.000
4 O 0.097 0.597 0.500
5 O 0.597 0.097 0.500

Summary:
**Raw formation energy**: -2445.7 meV/atom
**V**: 121 Å³ per cell
**ρ**: 8.24 g/cm³

Entry 2:
# Tb3Pm4

An optimized crystal structure of Tb3Pm4 (GGA-PBE, Alexandria).

a b c (Å): 8.654 8.654 8.845
angles (deg): 115.90 115.90 23.44
Element x y z (fractional)
1 Tb 0.000 0.000 0.000
2 Tb 0.221 0.221 0.145
3 Tb 0.779 0.779 0.855
4 Pm 0.079 0.079 0.704
5 Pm 0.362 0.362 0.592
6 Pm 0.638 0.638 0.408
7 Pm 0.921 0.921 0.296

Summary:
**Excess energy over the best structure of this formula in the dataset**: 0.1110 eV per atom
**ΔE_f**: 0.124 eV per atom
**V**: 236 Å³ per cell
**ρ**: 7.44 g/cm³

Entry 3:
# K2Ga2Br

An optimized crystal structure of K2Ga2Br (GGA-PBE, Alexandria).

a b c (Å): 8.752 8.752 4.676
angles (deg): 90.00 90.00 90.00
Element x y z (fractional)
1 K 0.200 0.300 0.000
2 K 0.300 0.800 0.000
3 K 0.700 0.200 0.000
4 K 0.800 0.700 0.000
5 Ga 0.100 0.600 0.500
6 Ga 0.400 0.100 0.500
7 Ga 0.600 0.900 0.500
8 Ga 0.900 0.400 0.500
9 Br 0.000 0.000 0.500
10 Br 0.500 0.500 0.500

Summary:
**Excess energy over the best structure of this formula in the dataset**: 0.4228 eV per atom
**Raw formation energy**: -231.5 meV/atom
**V**: 358 Å³ per cell
**ρ**: 2.76 g/cm³

Entry 4:
# CsEr2Br7

An optimized crystal structure of CsEr2Br7 (GGA-PBE, Alexandria).

a b c (Å): 8.553 8.553 5.581
angles (deg): 90.00 90.00 116.97
Element x y z (fractional)
1 Cs 0.000 0.000 0.000
2 Er 0.303 0.697 0.500
3 Er 0.697 0.303 0.500
4 Br 0.047 0.330 0.500
5 Br 0.298 0.702 0.000
6 Br 0.330 0.047 0.500
7 Br 0.500 0.500 0.500
8 Br 0.670 0.953 0.500
9 Br 0.702 0.298 0.000
10 Br 0.953 0.670 0.500

Summary:
**Raw formation energy**: -1821.5 meV/atom
**V**: 364 Å³ per cell
**ρ**: 4.69 g/cm³

Entry 5:
# KPa4O10

An optimized crystal structure of KPa4O10 (GGA-PBE, Alexandria).

a b c (Å): 14.813 14.813 14.813
angles (deg): 165.08 165.08 21.16
Element x y z (fractional)
1 K 0.000 0.000 0.000
2 Pa 0.201 0.201 0.000
3 Pa 0.398 0.398 0.000
4 Pa 0.602 0.602 0.000
5 Pa 0.799 0.799 0.000
6 O 0.068 0.568 0.500
7 O 0.159 0.659 0.500
8 O 0.250 0.750 0.500
9 O 0.341 0.841 0.500
10 O 0.432 0.932 0.500
11 O 0.568 0.068 0.500
12 O 0.659 0.159 0.500
13 O 0.750 0.250 0.500
14 O 0.841 0.341 0.500
15 O 0.932 0.432 0.500

Summary:
**Raw formation energy**: -3422.5 meV/atom
**V**: 215 Å³ per cell
**ρ**: 8.66 g/cm³

Entry 6:
# KPSO2

An optimized crystal structure of KPSO2 (GGA-PBE, Alexandria).

a b c (Å): 4.340 4.340 7.908
angles (deg): 90.00 90.00 90.00
Element x y z (fractional)
1 K 0.000 0.000 0.000
2 P 0.000 0.000 0.500
3 S 0.500 0.500 0.500
4 O 0.000 0.500 0.000
5 O 0.500 0.000 0.000

Summary:
**Raw formation energy**: 1352.1 meV/atom
**V**: 149 Å³ per cell
**ρ**: 1.50 g/cm³

VASP energy for every record listed, in sequence, given in eV per cell: -31.48 -32.02 -22.16 -39.90 -140.00 -13.79.